Entry 1:
Computed, not measured: KLaCu at its PBEsol-relaxed geometry at the SCAN level of DFT.

abc: 5.101 5.101 5.101
angles: 60.00 60.00 60.00
Positions (direct):
Cu 0.250 0.250 0.250
La 0.500 0.500 0.500
K 0.000 0.000 0.000

Summary:
As for the space group: F-43m. The calculated formation energy comes out at 458 meV per atom.


Entry 2:
Computed, not measured: KLa2Cu at its PBEsol-relaxed geometry at the SCAN level of DFT.

abc: 4.568 4.568 6.467
angles: 110.68 110.68 90.00
Positions (direct):
Cu 0.500 0.500 0.000
La 0.000 0.000 0.000
K 0.250 0.750 0.500
La 0.750 0.250 0.500

Summary:
As for the space group: I-4m2. The calculated formation energy comes out at 515 meV per atom.


Entry 3:
Computed, not measured: KLa2ScCu at its PBEsol-relaxed geometry at the SCAN level of DFT.

abc: 4.879 5.808 5.808
angles: 90.00 90.00 90.00
Last column: magnetic moment on the atom in μB.
Positions (direct):
K 0.500 0.500 0.500  0.01
Sc 0.000 0.000 0.000  0.15
Cu 0.500 0.000 0.000  0.00
La 0.000 0.500 0.000  0.10
La 0.000 0.000 0.500  0.10

Summary:
As for the space group: P4/mmm. The calculated formation energy comes out at 625 meV per atom.


Entry 4:
Computed, not measured: KLi3Cu at its PBEsol-relaxed geometry at the SCAN level of DFT.

abc: 5.038 5.038 5.038
angles: 90.00 90.00 90.00
Positions (direct):
Li 0.500 0.000 0.000
K 0.500 0.500 0.500
Li 0.000 0.500 0.000
Li 0.000 0.000 0.500
Cu 0.000 0.000 0.000

Summary:
As for the space group: Pm-3m. The calculated formation energy comes out at 172 meV per atom.


Entry 5:
Computed, not measured: KMgCu2 at its PBEsol-relaxed geometry at the SCAN level of DFT.

abc: 4.857 4.857 4.857
angles: 60.00 60.00 60.00
Positions (direct):
Cu 0.750 0.750 0.750
Mg 0.000 0.000 0.000
Cu 0.250 0.250 0.250
K 0.500 0.500 0.500

Summary:
As for the space group: Fm-3m. The calculated formation energy comes out at 553 meV per atom.


Entry 6:
Computed, not measured: KMg4Cu at its PBEsol-relaxed geometry at the SCAN level of DFT.

abc: 5.926 5.926 5.926
angles: 60.00 60.00 60.00
Positions (direct):
Mg 0.377 0.377 0.870
Cu 0.750 0.750 0.750
K 0.000 0.000 0.000
Mg 0.377 0.870 0.377
Mg 0.870 0.377 0.377
Mg 0.377 0.377 0.377

Summary:
As for the space group: F-43m. The calculated formation energy comes out at 375 meV per atom.


Entry 7:
Computed, not measured: KMg2Cu at its PBEsol-relaxed geometry at the SCAN level of DFT.

abc: 3.236 5.351 5.499
angles: 90.00 90.00 90.00
Positions (direct):
Mg 0.500 0.500 0.000
Mg 0.000 0.000 0.000
Cu 0.500 0.000 0.500
K 0.000 0.500 0.500

Summary:
As for the space group: Pmmm. For the polymorph energy (0 for the lowest one), the calculation gives 0.296 eV/atom. The calculated formation energy comes out at 471 meV per atom.


Entry 8:
Computed, not measured: KMg2Cu at its PBEsol-relaxed geometry at the SCAN level of DFT.

abc: 3.121 4.255 8.547
angles: 104.41 100.52 90.00
Positions (direct):
K 0.174 0.674 0.349
Cu 0.484 0.484 0.967
Mg 0.992 0.992 0.984
Mg 0.850 0.350 0.699

Summary:
As for the space group: Imm2. For the polymorph energy (0 for the lowest one), the calculation gives 0.000 eV/atom. The calculated formation energy comes out at 175 meV per atom.


Entry 9:
Computed, not measured: K2MgCu at its PBEsol-relaxed geometry at the SCAN level of DFT.

abc: 3.675 3.678 10.091
angles: 90.00 90.00 90.00
Positions (direct):
Mg 0.000 0.000 0.596
K 0.500 0.500 0.320
K 0.000 0.000 0.920
Cu 0.500 0.500 0.664

Summary:
As for the space group: P4mm. The calculated formation energy comes out at 226 meV per atom.


Entry 10:
Computed, not measured: KMg2V3Cu2O12 at its PBEsol-relaxed geometry at the SCAN level of DFT.

abc: 6.976 8.682 8.682
angles: 92.30 105.18 105.18
Last column: magnetic moment on the atom in μB.
Positions (direct):
V 0.750 0.285 0.715  -0.04
O 0.319 0.027 0.403  0.01
Cu 0.750 0.495 0.505  0.65
O 0.231 0.509 0.271  0.10
K 0.750 0.006 0.994  0.00
Cu 0.250 0.267 0.733  0.72
V 0.883 0.888 0.644  0.04
V 0.250 0.715 0.285  -0.04
O 0.626 0.669 0.023  0.04
O 0.533 0.172 0.755  0.00
O 0.109 0.179 0.177  0.01
O 0.126 0.023 0.669  0.04
O 0.672 0.498 0.279  0.11
O 0.731 0.271 0.509  0.10
Cu 0.250 0.505 0.495  0.65
O 0.269 0.729 0.491  0.10
O 0.181 0.597 0.973  0.01
O 0.681 0.973 0.597  0.01
O 0.328 0.502 0.721  0.11
Mg 0.380 0.948 0.628  0.00
O 0.874 0.977 0.331  0.04
O 0.172 0.279 0.498  0.11
O 0.769 0.491 0.729  0.10
O 0.467 0.828 0.245  0.00
K 0.250 0.994 0.006  0.00
O 0.374 0.331 0.977  0.04
Cu 0.750 0.733 0.267  0.72
O 0.033 0.755 0.172  0.00
V 0.617 0.356 0.112  0.04
V 0.383 0.644 0.888  0.04
O 0.609 0.177 0.179  0.01
V 0.117 0.112 0.356  0.04
Mg 0.120 0.372 0.052  0.00
O 0.891 0.821 0.823  0.01
O 0.828 0.721 0.502  0.11
O 0.819 0.403 0.027  0.01
O 0.391 0.823 0.821  0.01
Mg 0.880 0.628 0.948  0.00
Mg 0.620 0.052 0.372  0.00
O 0.967 0.245 0.828  0.00

Summary:
As for the space group: C2/c. Its total energy is -11.133 eV per atom.


Entry 11:
Computed, not measured: KMg2CuS at its PBEsol-relaxed geometry at the SCAN level of DFT.

abc: 4.847 5.794 5.794
angles: 90.00 90.00 90.00
Positions (direct):
Mg 0.000 0.500 0.000
Cu 0.500 0.000 0.000
S 0.500 0.500 0.500
K 0.000 0.000 0.000
Mg 0.000 0.000 0.500

Summary:
As for the space group: P4/mmm. Its total energy is -7.150 eV per atom.


Entry 12:
Computed, not measured: K2MnCu at its PBEsol-relaxed geometry at the SCAN level of DFT.

abc: 3.329 3.329 11.268
angles: 81.50 81.50 60.00
Last column: magnetic moment on the atom in μB.
Positions (direct):
Cu 0.000 0.000 0.000  0.00
K 0.743 0.743 0.772  -0.02
Mn 0.500 0.500 0.500  4.33
K 0.257 0.257 0.228  -0.02

Summary:
As for the space group: R-3m. For the polymorph energy (0 for the lowest one), the calculation gives 0.475 eV/atom. The calculated formation energy comes out at 833 meV per atom.


Entry 13:
Computed, not measured: K3MnCu at its PBEsol-relaxed geometry at the SCAN level of DFT.

abc: 6.093 6.093 6.093
angles: 90.00 90.00 90.00
Last column: magnetic moment on the atom in μB.
Positions (direct):
K 0.000 0.000 0.500  0.01
Mn 0.500 0.500 0.500  4.83
Cu 0.000 0.000 0.000  0.01
K 0.500 0.000 0.000  0.01
K 0.000 0.500 0.000  0.01

Summary:
As for the space group: Pm-3m. The calculated formation energy comes out at 641 meV per atom.


Entry 14:
Computed, not measured: K2MnCu at its PBEsol-relaxed geometry at the SCAN level of DFT.

abc: 3.475 3.475 9.963
angles: 90.00 90.00 90.00
Last column: magnetic moment on the atom in μB.
Positions (direct):
Cu 0.500 0.500 0.656  0.11
Mn 0.000 0.000 0.600  4.20
K 0.500 0.500 0.328  0.00
K 0.000 0.000 0.915  -0.01

Summary:
As for the space group: P4mm. For the polymorph energy (0 for the lowest one), the calculation gives 0.000 eV/atom. The calculated formation energy comes out at 358 meV per atom.


Entry 15:
Computed, not measured: K2MnCu at its PBEsol-relaxed geometry at the SCAN level of DFT.

abc: 4.606 4.606 6.144
angles: 112.01 112.01 90.00
Last column: magnetic moment on the atom in μB.
Positions (direct):
K 0.750 0.250 0.500  -0.01
K 0.250 0.750 0.500  -0.01
Mn 0.500 0.500 0.000  4.52
Cu 0.000 0.000 0.000  0.04

Summary:
As for the space group: I4/mmm. For the polymorph energy (0 for the lowest one), the calculation gives 0.392 eV/atom. The calculated formation energy comes out at 750 meV per atom.


Entry 16:
Computed, not measured: K2MnCu at its PBEsol-relaxed geometry at the SCAN level of DFT.

abc: 5.306 5.307 5.306
angles: 120.00 90.00 120.00
Last column: magnetic moment on the atom in μB.
Positions (direct):
Mn 0.500 0.000 0.500  4.52
K 0.000 0.000 0.000  0.00
Cu 0.250 0.500 0.750  0.04
K 0.750 0.500 0.250  0.01

Summary:
As for the space group: F-43m. For the polymorph energy (0 for the lowest one), the calculation gives 0.320 eV/atom. The calculated formation energy comes out at 678 meV per atom.


Entry 17:
Computed, not measured: KTb2CuMo4O16 at its PBEsol-relaxed geometry at the SCAN level of DFT.

abc: 5.201 6.757 19.391
angles: 88.43 85.92 67.37
Last column: magnetic moment on the atom in μB.
Positions (direct):
Mo 0.243 0.491 0.147  0.00
K 0.033 0.935 0.750  0.00
O 0.485 0.822 0.328  0.00
O 0.676 0.100 0.399  0.00
O 0.739 0.267 0.831  0.00
Mo 0.417 0.124 0.593  0.00
O 0.693 0.822 0.172  0.00
O 0.494 0.337 0.958  0.00
Mo 0.734 0.509 0.647  0.00
O 0.593 0.306 0.132  0.00
O 0.224 0.100 0.101  0.00
Mo 0.757 0.509 0.853  0.00
O 0.307 0.178 0.828  0.00
O 0.261 0.733 0.169  0.00
Mo 0.266 0.491 0.353  0.00
Tb 0.146 0.707 0.968  0.00
O 0.947 0.474 0.932  0.00
O 0.324 0.900 0.601  0.00
O 0.006 0.733 0.331  0.00
O 0.579 0.474 0.568  0.00
O 0.407 0.694 0.868  0.00
Tb 0.853 0.293 0.468  0.00
O 0.260 0.961 0.462  0.00
O 0.060 0.416 0.215  0.00
O 0.779 0.961 0.038  0.00
K 0.967 0.065 0.250  0.00
Tb 0.854 0.293 0.032  0.00
O 0.940 0.584 0.785  0.00
O 0.994 0.267 0.669  0.00
Mo 0.583 0.876 0.407  0.00
Mo 0.541 0.876 0.093  0.00
O 0.168 0.337 0.542  0.00
Cu 0.314 0.373 0.750  0.06
Cu 0.686 0.627 0.250  0.06
O 0.832 0.663 0.458  0.00
O 0.776 0.900 0.899  0.00
O 0.221 0.039 0.962  0.00
O 0.053 0.526 0.068  0.00
O 0.899 0.694 0.632  0.00
O 0.421 0.526 0.432  0.00
Tb 0.147 0.707 0.532  0.00
O 0.740 0.039 0.538  0.00
O 0.506 0.663 0.042  0.00
O 0.101 0.306 0.368  0.00
Mo 0.459 0.124 0.907  0.00
O 0.515 0.178 0.672  0.00
O 0.476 0.584 0.715  0.00
O 0.524 0.416 0.285  0.00

Summary:
As for the space group: C2/c. Its total energy is -17.355 eV per atom.


Entry 18:
Computed, not measured: KCuTc2Mo at its PBEsol-relaxed geometry at the SCAN level of DFT.

abc: 4.299 4.399 4.399
angles: 90.00 90.00 90.00
Last column: magnetic moment on the atom in μB.
Positions (direct):
Mo 0.500 0.500 0.500  2.06
Tc 0.000 0.500 0.000  -0.85
Tc 0.000 0.000 0.500  -0.85
K 0.000 0.000 0.000  -0.02
Cu 0.500 0.000 0.000  0.00

Summary:
As for the space group: P4/mmm. The calculated formation energy comes out at 3046 meV per atom.


Entry 19:
Computed, not measured: K2ZnCuMo at its PBEsol-relaxed geometry at the SCAN level of DFT.

abc: 4.617 6.007 6.007
angles: 90.00 90.00 90.00
Last column: magnetic moment on the atom in μB.
Positions (direct):
Mo 0.500 0.500 0.500  4.31
K 0.000 0.500 0.000  0.01
Cu 0.000 0.000 0.000  0.01
Zn 0.500 0.000 0.000  -0.03
K 0.000 0.000 0.500  0.01

Summary:
As for the space group: P4/mmm. The calculated formation energy comes out at 1114 meV per atom.


Entry 20:
Computed, not measured: KCuN2 at its PBEsol-relaxed geometry at the SCAN level of DFT.

abc: 5.343 5.343 5.343
angles: 79.33 65.96 114.04
Last column: magnetic moment on the atom in μB.
Positions (direct):
N 0.869 0.244 0.125  0.78
Cu 0.000 0.000 0.000  0.45
Cu 0.500 0.250 0.250  0.45
N 0.631 0.625 0.244  0.78
N 0.131 0.006 0.625  0.78
N 0.369 0.125 0.006  0.78
K 0.500 0.750 0.750  0.02
K 0.000 0.500 0.500  0.02

Summary:
As for the space group: I-42d. Its total energy is -9.627 eV per atom.